[1]
Compound: ZnSnP2Cl
Source: the Alexandria database
Functional: PBE-GGA
Structure: optimized geometry

The structure in extended XYZ format:
```
5
Lattice="4.615 0.000 0.000 0.000 4.615 0.000 0.000 0.000 5.248" Properties=species:S:1:pos:R:3 pbc="T T T"
P 0.000 2.308 0.000
P 2.308 0.000 0.000
Sn 2.308 2.308 2.624
Zn 0.000 0.000 0.000
Cl 0.000 0.000 2.624
```

Values from the calculation:
energy relative to the elements, uncorrected	0.369	eV/atom
mass density	4.2	g cm⁻³

[2]
Compound: Rb2AgP2Pd2
Source: the Alexandria database
Functional: PBE-GGA
Structure: optimized geometry

The structure in extended XYZ format:
```
7
Lattice="-2.119 -1.493 3.623 4.149 -0.942 4.778 -0.754 6.029 4.782" Properties=species:S:1:pos:R:3 pbc="T T T"
P 1.779 3.951 8.146
Rb 2.140 0.663 7.003
Pd 1.169 -0.096 3.383
Pd 0.107 3.691 9.800
P -0.503 -0.357 5.036
Rb -0.864 2.931 6.180
Ag 0.000 0.000 0.000
```

Values from the calculation:
energy of formation from the pure elements	-0.3841	eV/atom
mass density	4.7	g cm⁻³

[3]
Compound: CaAsRh2
Source: the Alexandria database
Functional: PBE-GGA
Structure: optimized geometry

The structure in extended XYZ format:
```
8
Lattice="-7.121 -1.537 -0.968 1.355 -7.103 1.311 -3.375 -3.876 3.084" Properties=species:S:1:pos:R:3 pbc="T T T"
Rh -5.715 -2.945 0.250
As 0.000 0.000 0.000
Rh -0.297 -5.473 1.549
Rh -7.464 -11.055 2.722
Rh -4.806 -5.559 2.333
As -6.689 -4.867 1.144
Ca -2.883 -4.320 0.172
Ca -2.451 -7.650 2.283
```

Values from the calculation:
energy of formation from the pure elements	-0.3339	eV/atom
mass density	6.6	g cm⁻³

[4]
Compound: Th8GeSb4P3
Source: the Alexandria database
Functional: PBE-GGA
Structure: optimized geometry

The structure in extended XYZ format:
```
16
Lattice="8.599 0.000 0.000 0.000 8.780 0.122 -4.300 -4.296 6.084" Properties=species:S:1:pos:R:3 pbc="T T T"
P -2.150 2.242 3.103
P 4.300 4.390 0.061
Th 2.181 2.366 0.173
Th 6.419 2.366 0.173
P 2.150 2.242 3.103
Sb 2.150 -2.148 3.042
Th 2.119 2.118 6.033
Sb 4.300 0.000 0.000
Sb -2.150 -2.148 3.042
Th 0.000 0.252 3.217
Sb 0.000 0.000 0.000
Ge 0.000 4.390 0.061
Th 4.300 0.250 3.171
Th 4.300 4.232 2.989
Th 0.000 4.235 3.034
Th -2.119 2.118 6.033
```

Values from the calculation:
energy relative to the elements, uncorrected	-1.145	eV/atom
mass density	9.0	g cm⁻³

[5]
Compound: CaLa5Y3
Source: the Alexandria database
Functional: PBE-GGA
Structure: optimized geometry

The structure in extended XYZ format:
```
18
Lattice="7.036 0.000 0.000 -3.518 10.516 -5.974 0.000 -4.199 11.238" Properties=species:S:1:pos:R:3 pbc="T T T"
La 4.270 4.729 1.797
La -0.752 1.588 3.467
La 4.841 -1.050 2.809
Ca 5.397 -3.149 8.428
Ca 1.638 -1.050 2.809
La 0.009 6.834 -0.975
Y -0.722 1.663 6.867
La 3.527 1.583 0.620
Y 0.722 3.763 1.248
La 3.509 -0.517 6.239
La -0.009 4.735 4.644
Y 4.240 4.654 -1.603
Y 0.000 -2.099 5.619
La 2.195 -3.149 8.428
Y 0.000 0.000 0.000
La 2.766 6.829 -3.822
La 0.752 -0.511 9.086
Y 2.796 2.555 4.016
```

Values from the calculation:
energy of formation from the pure elements	0.1758	eV/atom
mass density	5.1	g cm⁻³

[6]
Compound: Ac2AgAs4Pt3
Source: the Alexandria database
Functional: PBE-GGA
Structure: optimized geometry

The structure in extended XYZ format:
```
10
Lattice="4.594 0.000 0.000 0.000 4.594 0.000 0.000 0.000 10.123" Properties=species:S:1:pos:R:3 pbc="T T T"
Pt 0.000 2.297 1.135
Ac 0.000 2.297 7.620
Ac 2.297 0.000 2.503
Pt 2.297 0.000 8.988
As 0.000 2.297 3.685
As 2.297 0.000 6.437
Pt 0.000 0.000 5.061
As 2.297 2.297 0.000
Ag 2.297 2.297 5.061
As 0.000 0.000 0.000
```

Values from the calculation:
energy of formation from the pure elements	-0.8653	eV/atom
mass density	11.2	g cm⁻³

The lowest mass density belongs to which entry?
ZnSnP2Cl